DFT (PBE-GGA) results for an optimized crystal structure of ZrCuAg2.

```
ZrCuAg2
1.0
3.021 0.000 0.000
0.000 3.021 0.000
0.000 0.000 7.681
Zr Cu Ag
1 1 2
Direct
0.000 0.000 0.000
0.000 0.000 0.500
0.500 0.500 0.283
0.500 0.500 0.717
```

Values from the calculation:
N(E_F): 2.02 states/eV/f.u.
theoretical density: 8.8 g/cm³
SG: P4/mmm
M_tot: 0.00 Bohr magnetons per cell
energy of formation: 0.05 eV per atom
calculated volume: 17.52 Å³/atom
relative energy among the computed polymorphs: 0.055 eV per atom